(1)
First-principles (PBE) data for an optimized crystal structure of ErPPdO, as listed in the Open Quantum Materials Database.

Unit cell a=4.024 b=4.024 c=7.765 alpha=90.00 beta=90.00 gamma=90.00
Atoms (fractional coordinates):
Er 0.250 0.250 0.132
Er 0.750 0.750 0.868
P 0.250 0.250 0.668
P 0.750 0.750 0.332
Pd 0.250 0.750 0.500
Pd 0.750 0.250 0.500
O 0.250 0.750 0.000
O 0.750 0.250 0.000

Computed properties:
Offset from the most stable computed form, eV per atom: 0.000
E, eV per atom: -6.905

---

(2)
First-principles (PBE) data for an optimized crystal structure of ErPPdO, as listed in the Open Quantum Materials Database.

Unit cell a=3.508 b=7.578 c=5.457 alpha=90.00 beta=90.00 gamma=90.00
Atoms (fractional coordinates):
Er 0.000 0.225 0.000
Er 0.000 0.775 0.500
P 0.000 0.411 0.500
P 0.000 0.589 0.000
Pd 0.500 0.217 0.503
Pd 0.500 0.783 0.003
O 0.500 0.081 0.020
O 0.500 0.919 0.520

Computed properties:
Offset from the most stable computed form, eV per atom: 0.487
E, eV per atom: -6.417

---

(3)
First-principles (PBE) data for an optimized crystal structure of ErPPdO, as listed in the Open Quantum Materials Database.

Unit cell a=5.872 b=5.872 c=4.335 alpha=90.00 beta=90.00 gamma=90.00
Atoms (fractional coordinates):
Er 0.250 0.750 0.000
Er 0.750 0.250 0.000
P 0.250 0.250 0.490
P 0.750 0.750 0.510
Pd 0.250 0.250 0.990
Pd 0.750 0.750 0.010
O 0.250 0.750 0.500
O 0.750 0.250 0.500

Computed properties:
Offset from the most stable computed form, eV per atom: 0.847
E, eV per atom: -6.058

---

(4)
First-principles (PBE) data for an optimized crystal structure of PmErPO, as listed in the Open Quantum Materials Database.

Unit cell a=4.268 b=7.396 c=5.888 alpha=90.00 beta=90.00 gamma=90.00
Atoms (fractional coordinates):
Pm 0.000 0.198 0.000
Pm 0.000 0.802 0.500
Er 0.500 0.382 0.570
Er 0.500 0.618 0.070
P 0.000 0.179 0.495
P 0.000 0.821 0.995
O 0.500 0.339 0.939
O 0.500 0.661 0.439

Computed properties:
Offset from the most stable computed form, eV per atom: 0.000
E, eV per atom: -6.939

---

Among the records above, which one has the highest E? number 3